ScCd6Hg2 after structural relaxation, computed with PBE-GGA.

Lattice parameters (Å, degrees): 8.539 4.940 9.935 90.00 90.88 90.00
Space group C2/m (No. 12)
One atom of each set of equivalent atoms:
Sc: 0.000 0.000 0.000 (multiplicity 2)
Cd: 0.004 0.000 0.315 (multiplicity 4)
Cd: 0.164 0.500 0.847 (multiplicity 4)
Cd: 0.169 0.500 0.151 (multiplicity 4)
Hg: 0.167 0.500 0.454 (multiplicity 4)

energy of formation from the pure elements: -0.0694 eV per atom
total magnetic moment: 0.00 μB/atom
uncorrected energy: -1.45 eV per atom
crystal system: monoclinic
density: 8881 kg/m3
N(E_F): 3.58 states/eV/f.u.

***

ScCdHg2 after structural relaxation, computed with PBE-GGA.

Lattice parameters (Å, degrees): 10.481 3.422 5.257 90.00 106.03 90.00
Space group Cm (No. 8)
One atom of each set of equivalent atoms:
Sc: 0.000 0.000 0.000 (multiplicity 2)
Cd: 0.254 0.500 0.301 (multiplicity 2)
Hg: 0.008 0.500 0.503 (multiplicity 2)
Hg: 0.258 0.000 0.811 (multiplicity 2)

energy of formation from the pure elements: -0.1617 eV per atom
total magnetic moment: 0.00 μB/atom
uncorrected energy: -2.12 eV per atom
crystal system: monoclinic
density: 10236 kg/m3
N(E_F): 2.59 states/eV/f.u.

***

ScCd12Hg6 after structural relaxation, computed with PBE-GGA.

Lattice parameters (Å, degrees): 12.5375 12.5375 9.9049 90.00 90.00 120.00
Space group R-3 (No. 148, hexagonal axes)
One atom of each set of equivalent atoms:
Sc: 0.0000 0.0000 0.0000 (multiplicity 3)
Cd: 0.0108 0.7524 0.0195 (multiplicity 18)
Cd: 0.0732 0.5628 0.1198 (multiplicity 18)
Hg: 0.0610 0.8936 0.7516 (multiplicity 18)

energy of formation from the pure elements: -0.0261 eV per atom
total magnetic moment: 0.00 μB/atom
uncorrected energy: -1.03 eV per atom
crystal system: trigonal
density: 9596 kg/m3
N(E_F): 5.86 states/eV/f.u.

***

Sc4CdHg3 after structural relaxation, computed with PBE-GGA.

Lattice parameters (Å, degrees): 4.9816 4.9816 24.4473 90.00 90.00 120.00
Space group R-3m (No. 166, hexagonal axes)
One atom of each set of equivalent atoms:
Sc: 0.0000 0.0000 0.1231 (multiplicity 6)
Sc: 0.0000 0.0000 0.3736 (multiplicity 6)
Cd: 0.0000 0.0000 0.5000 (multiplicity 3)
Hg: 0.0000 0.0000 0.0000 (multiplicity 3)
Hg: 0.0000 0.0000 0.2458 (multiplicity 6)

energy of formation from the pure elements: -0.3988 eV per atom
total magnetic moment: 0.00 μB/atom
uncorrected energy: -3.79 eV per atom
crystal system: trigonal
density: 8476 kg/m3
N(E_F): 7.62 states/eV/f.u.

***

ScCdHg2 after structural relaxation, computed with PBE-GGA.

Lattice parameters (Å, degrees): 3.5066 3.5066 26.6035 90.00 90.00 120.00
Space group R-3m (No. 166, hexagonal axes)
One atom of each set of equivalent atoms:
Sc: 0.0000 0.0000 0.0000 (multiplicity 3)
Cd: 0.0000 0.0000 0.5000 (multiplicity 3)
Hg: 0.0000 0.0000 0.2518 (multiplicity 6)

energy of formation from the pure elements: -0.1403 eV per atom
total magnetic moment: 0.00 μB/atom
uncorrected energy: -2.10 eV per atom
crystal system: trigonal
density: 9822 kg/m3
N(E_F): 2.06 states/eV/f.u.

***

ScCdHg2 after structural relaxation, computed with PBE-GGA.

Lattice parameters (Å, degrees): 3.677 3.677 6.706 90.00 90.00 90.00
Space group P4mm (No. 99)
One atom of each set of equivalent atoms:
Sc: 0.000 0.000 0.000 (multiplicity 1)
Cd: 0.500 0.500 0.257 (multiplicity 1)
Hg: 0.000 0.000 0.500 (multiplicity 1)
Hg: 0.500 0.500 0.773 (multiplicity 1)

energy of formation from the pure elements: -0.1476 eV per atom
total magnetic moment: 0.00 μB/atom
uncorrected energy: -2.11 eV per atom
crystal system: tetragonal
density: 10230 kg/m3
N(E_F): 2.72 states/eV/f.u.

***

Sc2Cd2Hg after structural relaxation, computed with PBE-GGA.

Lattice parameters (Å, degrees): 7.689 7.689 3.817 90.00 90.00 90.00
Space group P4/mbm (No. 127)
One atom of each set of equivalent atoms:
Sc: 0.165 0.335 0.000 (multiplicity 4)
Cd: 0.133 0.633 0.500 (multiplicity 4)
Hg: 0.000 0.000 0.500 (multiplicity 2)

energy of formation from the pure elements: -0.1784 eV per atom
total magnetic moment: 0.00 μB/atom
uncorrected energy: -3.14 eV per atom
crystal system: tetragonal
density: 7585 kg/m3
N(E_F): 4.46 states/eV/f.u.

***

ScCdHg2 after structural relaxation, computed with PBE-GGA.

Lattice parameters (Å, degrees): 3.298 4.668 6.069 90.00 105.74 90.00
Space group Pm (No. 6)
One atom of each set of equivalent atoms:
Sc: 0.000 0.000 0.000 (multiplicity 1)
Cd: 0.664 0.500 0.323 (multiplicity 1)
Hg: 0.262 0.000 0.514 (multiplicity 1)
Hg: 0.411 0.500 0.825 (multiplicity 1)

energy of formation from the pure elements: -0.1694 eV per atom
total magnetic moment: 0.03 μB/atom
uncorrected energy: -2.13 eV per atom
crystal system: monoclinic
density: 10314 kg/m3
N(E_F): 2.87 states/eV/f.u.

***

ScCd4Hg7 after structural relaxation, computed with PBE-GGA.

Lattice parameters (Å, degrees): 5.081 6.672 9.223 69.68 76.53 89.87
Space group P-1 (No. 2)
One atom of each set of equivalent atoms:
Sc: 0.000 0.000 0.000 (multiplicity 1)
Cd: 0.066 0.422 0.675 (multiplicity 2)
Cd: 0.434 0.843 0.308 (multiplicity 2)
Hg: 0.000 0.500 0.000 (multiplicity 1)
Hg: 0.064 0.916 0.683 (multiplicity 2)
Hg: 0.414 0.317 0.371 (multiplicity 2)
Hg: 0.495 0.744 0.003 (multiplicity 2)

energy of formation from the pure elements: -0.0444 eV per atom
total magnetic moment: 0.00 μB/atom
uncorrected energy: -1.05 eV per atom
crystal system: triclinic
density: 11097 kg/m3
N(E_F): 4.43 states/eV/f.u.

***

ScCd8Hg2 after structural relaxation, computed with PBE-GGA.

Lattice parameters (Å, degrees): 12.717 7.959 5.773 90.00 109.03 90.00
Space group C2/m (No. 12)
One atom of each set of equivalent atoms:
Sc: 0.000 0.000 0.000 (multiplicity 2)
Cd: 0.001 0.500 0.262 (multiplicity 4)
Cd: 0.118 0.000 0.619 (multiplicity 4)
Cd: 0.164 0.297 0.109 (multiplicity 8)
Hg: 0.222 0.500 0.647 (multiplicity 4)

energy of formation from the pure elements: 0.0636 eV per atom
total magnetic moment: 0.00 μB/atom
uncorrected energy: -1.23 eV per atom
crystal system: monoclinic
density: 8089 kg/m3
N(E_F): 5.92 states/eV/f.u.

***

Sc6Cd3Hg after structural relaxation, computed with PBE-GGA.

Lattice parameters (Å, degrees): 8.692 5.011 10.904 90.00 107.92 90.00
Space group P2_1/m (No. 11)
One atom of each set of equivalent atoms:
Sc: 0.041 0.250 0.413 (multiplicity 2)
Sc: 0.158 0.750 0.177 (multiplicity 2)
Sc: 0.258 0.250 0.006 (multiplicity 2)
Sc: 0.343 0.750 0.806 (multiplicity 2)
Sc: 0.364 0.250 0.327 (multiplicity 2)
Sc: 0.403 0.250 0.617 (multiplicity 2)
Cd: 0.029 0.750 0.879 (multiplicity 2)
Cd: 0.119 0.250 0.716 (multiplicity 2)
Cd: 0.274 0.750 0.475 (multiplicity 2)
Hg: 0.451 0.750 0.111 (multiplicity 2)

energy of formation from the pure elements: -0.2390 eV per atom
total magnetic moment: 0.07 μB/atom
uncorrected energy: -4.34 eV per atom
crystal system: monoclinic
density: 5934 kg/m3
N(E_F): 9.89 states/eV/f.u.

***

Sc4Cd2Hg5 after structural relaxation, computed with PBE-GGA.

Lattice parameters (Å, degrees): 14.485 4.811 7.221 90.00 90.86 90.00
Space group C2/m (No. 12)
One atom of each set of equivalent atoms:
Sc: 0.008 0.000 0.251 (multiplicity 4)
Sc: 0.169 0.500 0.755 (multiplicity 4)
Cd: 0.162 0.500 0.227 (multiplicity 4)
Hg: 0.000 0.500 0.500 (multiplicity 2)
Hg: 0.154 0.000 0.989 (multiplicity 4)
Hg: 0.168 0.000 0.510 (multiplicity 4)

energy of formation from the pure elements: -0.2564 eV per atom
total magnetic moment: 0.00 μB/atom
uncorrected energy: -2.86 eV per atom
crystal system: monoclinic
density: 9292 kg/m3
N(E_F): 6.16 states/eV/f.u.